[1]
Density functional theory data (PBE) for a geometry-optimized MgScTlNi structure.

Results
energy: -16.5 eV per cell
space-group type: F-43m, No. 216
crystal system: cubic
E above lowest polymorph: 0 meV/atom
ρ: 7.3 g/cm³

Cell and atoms, written as POSCAR:
```
MgScTlNi
1.0
-3.959 0.715 2.504
-1.861 4.347 0.300
-4.063 0.996 -2.225
Sc Tl Ni Mg
1 1 1 1
Cartesian
-2.471 1.515 0.145 Sc
-4.942 3.029 0.290 Tl
0.000 0.000 0.000 Ni
-7.412 4.544 0.434 Mg
```



[2]
Density functional theory data (PBE) for a geometry-optimized MgScTlNi structure.

Results
energy: -16.2 eV per cell
space-group type: F-43m, No. 216
crystal system: cubic
E above lowest polymorph: 88 meV/atom
ρ: 7.5 g/cm³

Cell and atoms, written as POSCAR:
```
MgScTlNi
1.0
1.960 0.445 4.244
-2.249 2.346 3.390
-1.793 -2.320 3.669
Mg Ni Tl Sc
1 1 1 1
Cartesian
-1.561 0.353 8.478 Mg
-1.041 0.236 5.652 Ni
-0.520 0.118 2.826 Tl
0.000 0.000 0.000 Sc
```



[3]
Density functional theory data (PBE) for a geometry-optimized MgScTlNi structure.

Results
energy: -16.3 eV per cell
space-group type: F-43m, No. 216
crystal system: cubic
E above lowest polymorph: 46 meV/atom
ρ: 7.6 g/cm³

Cell and atoms, written as POSCAR:
```
MgScTlNi
1.0
0.000 3.307 3.307
3.307 0.000 3.307
3.307 3.307 0.000
Tl Mg Sc Ni
1 1 1 1
Cartesian
0.000 0.000 0.000 Tl
1.654 1.654 1.654 Mg
3.307 3.307 3.307 Sc
4.961 4.961 4.961 Ni
```



[4]
Density functional theory data (PBE) for a geometry-optimized YMgScNi structure.

Results
energy: -20.4 eV per cell
space-group type: F-43m, No. 216
crystal system: cubic
E above lowest polymorph: 0 meV/atom
ρ: 4.3 g/cm³

Cell and atoms, written as POSCAR:
```
YMgScNi
1.0
1.988 -3.122 3.219
-0.740 0.632 4.808
-2.860 -3.125 2.473
Mg Sc Ni Y
1 1 1 1
Cartesian
-1.209 -4.211 7.874 Mg
0.000 0.000 0.000 Sc
-0.403 -1.404 2.625 Ni
-0.806 -2.807 5.250 Y
```